Entry 1:
USbTe2Se: optimized geometry, PBE-GGA.

Lattice parameters (Å, degrees): 4.453 4.453 14.931 90.00 90.00 90.00
Fractional coordinates of all 10 atoms:
U1 0.500 0.000 0.624
U2 0.000 0.500 0.376
Sb1 0.500 0.000 0.105
Sb2 0.000 0.500 0.895
Te1 0.000 0.500 0.699
Te2 0.000 0.500 0.116
Te3 0.500 0.000 0.884
Te4 0.500 0.000 0.301
Se1 0.000 0.000 0.500
Se2 0.500 0.500 0.500

The calculation puts the energy relative to the elements, uncorrected at -0.466 eV/atom. As for the total magnetization: 0.4768 μB per atom. Its space group is P4/nmm (129).

Entry 2:
CrCuRu2: optimized geometry, PBE-GGA.

Lattice parameters (Å, degrees): 4.543 4.543 4.638 78.81 78.81 34.15
Fractional coordinates of all 4 atoms:
Cr1 0.750 0.750 0.750
Cu1 0.250 0.250 0.250
Ru1 0.013 0.013 0.988
Ru2 0.487 0.487 0.512

The formation energy comes out at 0.21 eV per atom. As for the total magnetization: 0.0004 μB per atom. Its space group is C2/m (12).

Entry 3:
CeZnCd: optimized geometry, PBE-GGA.

Lattice parameters (Å, degrees): 3.224 3.224 6.741 103.83 103.83 90.00
Fractional coordinates of all 3 atoms:
Zn1 0.677 0.677 0.355
Ce1 0.010 0.010 0.019
Cd1 0.313 0.313 0.626

The formation energy comes out at -0.15 eV per atom. As for the total magnetization: 0.1375 μB per atom. Its space group is I4mm (107).

Entry 4:
NaFe2Au2: optimized geometry, PBE-GGA.

Lattice parameters (Å, degrees): 7.905 7.905 2.733 90.00 90.00 90.00
Fractional coordinates of all 10 atoms:
Na1 0.000 0.000 0.000
Na2 0.500 0.500 0.000
Au1 0.185 0.685 0.500
Au2 0.685 0.815 0.500
Au3 0.815 0.315 0.500
Au4 0.315 0.185 0.500
Fe1 0.393 0.893 0.000
Fe2 0.893 0.607 0.000
Fe3 0.607 0.107 0.000
Fe4 0.107 0.393 0.000

The calculation puts the offset from the most stable computed form at 0.0 meV per atom. The formation energy comes out at 0.09 eV per atom. As for the total magnetization: 1.1678 μB per atom. Its space group is P4/mbm (127).

Entry 5:
SrTl2Os: optimized geometry, PBE-GGA.

Lattice parameters (Å, degrees): 5.686 5.686 5.686 132.21 132.21 69.90
Fractional coordinates of all 4 atoms:
Os1 0.500 0.500 0.000
Sr1 0.750 0.250 0.500
Tl1 0.000 0.000 0.000
Tl2 0.250 0.750 0.500

The formation energy comes out at 0.67 eV per atom. As for the total magnetization: 0.1196 μB per atom. Its space group is I-4m2 (119).

Entry 6:
FeCoSi2: optimized geometry, PBE-GGA.

Lattice parameters (Å, degrees): 7.646 7.646 7.646 20.61 20.61 20.61
Fractional coordinates of all 4 atoms:
Co1 0.503 0.503 0.503
Fe1 0.750 0.750 0.750
Si1 0.003 0.003 0.003
Si2 0.245 0.245 0.245

The calculation puts the energy relative to the elements, uncorrected at 0.023 eV/atom. As for the total magnetization: 0.7951 μB per atom. Its space group is R3m (160).

Number 1: total energy -5.50 eV/atom. Number 2: total energy -7.86 eV/atom. Number 3: total energy -2.86 eV/atom. Number 4: total energy -4.87 eV/atom. Number 5: total energy -3.74 eV/atom. Number 6: total energy -6.58 eV/atom.